Model one:
Entry from OQMD: a geometry-optimized PPtAuO structure (PBE).

Properties
Symmetry: P4/nmm (129)

a = 4.2778 Å, b = 4.2778 Å, c = 8.0519 Å
α = 90.00°, β = 90.00°, γ = 90.00°
Last column: nearest neighbours and their distance in Å.
Atoms (fractional coordinates):
P: 0.2500 0.2500 0.1610  1 Pt 2.21
P: 0.7500 0.7500 0.8390  1 Pt 2.21
Pt: 0.2500 0.2500 0.4359  4 O 2.20, 1 P 2.21
Pt: 0.7500 0.7500 0.5641  4 O 2.20, 1 P 2.21
Au: 0.2500 0.7500 0.0000  4 P 2.50
Au: 0.7500 0.2500 0.0000  4 P 2.50
O: 0.2500 0.7500 0.5000  4 Pt 2.20
O: 0.7500 0.2500 0.5000  4 Pt 2.20

---

Model two:
Entry from OQMD: a geometry-optimized PPtAuO structure (PBE).

Properties
Symmetry: Pmc2_1 (26)

a = 3.4058 Å, b = 5.7794 Å, c = 6.7498 Å
α = 90.00°, β = 90.00°, γ = 90.00°
Last column: nearest neighbours and their distance in Å.
Atoms (fractional coordinates):
P: 0.0000 0.2190 0.0000  2 Pt 2.30, 2 Au 2.33-2.44
P: 0.0000 0.7810 0.5000  2 Pt 2.30, 2 Au 2.33-2.44
Pt: 0.5000 0.4588 0.1020  2 O 2.01-2.02
Pt: 0.5000 0.5412 0.6020  2 O 2.01-2.02
Au: 0.0000 0.1606 0.6585  2 P 2.33-2.44
Au: 0.0000 0.8394 0.1585  2 P 2.33-2.44
O: 0.5000 0.3150 0.3749  2 Pt 2.01-2.02
O: 0.5000 0.6850 0.8749  2 Pt 2.01-2.02

---

Computed stability ranking, most favorable first: model two, model one

---

Model one:
Entry from OQMD: a geometry-optimized PPtAuO structure (PBE).

Properties
Symmetry: P4/nmm (129)

a = 4.2715 Å, b = 4.2715 Å, c = 7.7209 Å
α = 90.00°, β = 90.00°, γ = 90.00°
Last column: nearest neighbours and their distance in Å.
Atoms (fractional coordinates):
P: 0.2500 0.2500 0.1436  4 Pt 2.41
P: 0.7500 0.7500 0.8564  4 Pt 2.41
Pt: 0.2500 0.7500 0.0000  4 P 2.41
Pt: 0.7500 0.2500 0.0000  4 P 2.41
Au: 0.2500 0.2500 0.5531  4 O 2.17
Au: 0.7500 0.7500 0.4469  4 O 2.17
O: 0.2500 0.7500 0.5000  4 Au 2.17
O: 0.7500 0.2500 0.5000  4 Au 2.17

---

Model two:
Entry from OQMD: a geometry-optimized PPtAuO structure (PBE).

Properties
Symmetry: Pmc2_1 (26)

a = 3.8716 Å, b = 6.1096 Å, c = 5.7650 Å
α = 90.00°, β = 90.00°, γ = 90.00°
Last column: nearest neighbours and their distance in Å.
Atoms (fractional coordinates):
P: 0.0000 0.2401 0.0000  2 Pt 2.30-2.32, 2 Au 2.38
P: 0.0000 0.7599 0.5000  2 Pt 2.30-2.32, 2 Au 2.38
Pt: 0.0000 0.1216 0.6216  2 O 2.00
Pt: 0.0000 0.8784 0.1216  2 O 2.00
Au: 0.5000 0.4617 0.0533  1 O 2.28, 2 P 2.38
Au: 0.5000 0.5383 0.5533  1 O 2.28, 2 P 2.38
O: 0.5000 0.1653 0.5455  2 Pt 2.00
O: 0.5000 0.8347 0.0455  2 Pt 2.00

---

Computed stability ranking, most favorable first: model two, model one

---

Model one:
Entry from OQMD: a geometry-optimized RbPAuO structure (PBE).

Properties
Symmetry: P4/nmm (129)

a = 4.4190 Å, b = 4.4190 Å, c = 10.2899 Å
α = 90.00°, β = 90.00°, γ = 90.00°
Last column: nearest neighbours and their distance in Å.
Atoms (fractional coordinates):
Rb: 0.2500 0.2500 0.1520  4 O 2.71
Rb: 0.7500 0.7500 0.8480  4 O 2.71
P: 0.2500 0.2500 0.6111  4 Au 2.49
P: 0.7500 0.7500 0.3889  4 Au 2.49
Au: 0.2500 0.7500 0.5000  4 P 2.49
Au: 0.7500 0.2500 0.5000  4 P 2.49
O: 0.2500 0.7500 0.0000  4 Rb 2.71
O: 0.7500 0.2500 0.0000  4 Rb 2.71

---

Model two:
Entry from OQMD: a geometry-optimized RbPAuO structure (PBE).

Properties
Symmetry: Pmc2_1 (26)

a = 3.8884 Å, b = 5.9060 Å, c = 8.0647 Å
α = 90.00°, β = 90.00°, γ = 90.00°
Last column: nearest neighbours and their distance in Å.
Atoms (fractional coordinates):
Rb: 0.0000 0.1353 0.0000  2 O 2.83-2.93
Rb: 0.0000 0.8647 0.5000  2 O 2.83-2.93
P: 0.5000 0.3101 0.6440  2 Au 2.40
P: 0.5000 0.6899 0.1440  2 Au 2.40
Au: 0.5000 0.4024 0.3542  2 O 2.04
Au: 0.5000 0.5976 0.8542  2 O 2.04
O: 0.0000 0.3028 0.3289  2 Au 2.04
O: 0.0000 0.6972 0.8289  2 Au 2.04

---

Model three:
Entry from OQMD: a geometry-optimized RbPAuO structure (PBE).

Properties
Symmetry: P4/nmm (129)

a = 4.7065 Å, b = 4.7065 Å, c = 9.1335 Å
α = 90.00°, β = 90.00°, γ = 90.00°
Last column: nearest neighbours and their distance in Å.
Atoms (fractional coordinates):
Rb: 0.2500 0.7500 0.0000  4 P 3.19, 4 Rb 3.33
Rb: 0.7500 0.2500 0.0000  4 P 3.19, 4 Rb 3.33
P: 0.2500 0.2500 0.2351  1 Au 2.28
P: 0.7500 0.7500 0.7649  1 Au 2.28
Au: 0.2500 0.2500 0.4849  1 P 2.28, 4 O 2.36
Au: 0.7500 0.7500 0.5151  1 P 2.28, 4 O 2.36
O: 0.2500 0.7500 0.5000  4 Au 2.36
O: 0.7500 0.2500 0.5000  4 Au 2.36

---

Computed stability ranking, most favorable first: model two, model one, model three

---

Model one:
Entry from OQMD: a geometry-optimized RePAuO structure (PBE).

Properties
Symmetry: P4/nmm (129)

a = 4.4175 Å, b = 4.4175 Å, c = 5.4584 Å
α = 90.00°, β = 90.00°, γ = 90.00°
Last column: nearest neighbours and their distance in Å.
Atoms (fractional coordinates):
Re: 0.2500 0.7500 0.0000  4 P 2.41
Re: 0.7500 0.2500 0.0000  4 P 2.41
P: 0.2500 0.2500 0.1777  4 Re 2.41, 1 Au 2.57
P: 0.7500 0.7500 0.8223  4 Re 2.41, 1 Au 2.57
Au: 0.2500 0.2500 0.6481  4 O 2.35, 1 P 2.57
Au: 0.7500 0.7500 0.3519  4 O 2.35, 1 P 2.57
O: 0.2500 0.7500 0.5000  4 Au 2.35
O: 0.7500 0.2500 0.5000  4 Au 2.35

---

Model two:
Entry from OQMD: a geometry-optimized RePAuO structure (PBE).

Properties
Symmetry: P4/nmm (129)

a = 4.0780 Å, b = 4.0780 Å, c = 6.6579 Å
α = 90.00°, β = 90.00°, γ = 90.00°
Last column: nearest neighbours and their distance in Å.
Atoms (fractional coordinates):
Re: 0.2500 0.7500 0.0000  4 P 2.36
Re: 0.7500 0.2500 0.0000  4 P 2.36
P: 0.2500 0.2500 0.1798  4 Re 2.36
P: 0.7500 0.7500 0.8202  4 Re 2.36
Au: 0.2500 0.2500 0.6724  4 O 2.34
Au: 0.7500 0.7500 0.3276  4 O 2.34
O: 0.2500 0.7500 0.5000  4 Au 2.34
O: 0.7500 0.2500 0.5000  4 Au 2.34

---

Computed stability ranking, most favorable first: model one, model two

---

Model one:
Entry from OQMD: a geometry-optimized SmPAuO structure (PBE).

Properties
Symmetry: P4/nmm (129)

a = 4.1062 Å, b = 4.1062 Å, c = 8.3669 Å
α = 90.00°, β = 90.00°, γ = 90.00°
Last column: nearest neighbours and their distance in Å.
Atoms (fractional coordinates):
Sm: 0.2500 0.2500 0.1322  4 O 2.33
Sm: 0.7500 0.7500 0.8678  4 O 2.33
P: 0.2500 0.2500 0.6842  4 Au 2.57
P: 0.7500 0.7500 0.3158  4 Au 2.57
Au: 0.2500 0.7500 0.5000  4 P 2.57
Au: 0.7500 0.2500 0.5000  4 P 2.57
O: 0.2500 0.7500 0.0000  4 Sm 2.33
O: 0.7500 0.2500 0.0000  4 Sm 2.33

---

Model two:
Entry from OQMD: a geometry-optimized SmPAuO structure (PBE).

Properties
Symmetry: P4/nmm (129)

a = 5.8579 Å, b = 5.8579 Å, c = 4.6049 Å
α = 90.00°, β = 90.00°, γ = 90.00°
Last column: nearest neighbours and their distance in Å.
Atoms (fractional coordinates):
Sm: 0.2500 0.7500 0.0000  2 O 2.30
Sm: 0.7500 0.2500 0.0000  2 O 2.30
P: 0.2500 0.2500 0.0028  2 Au 2.30
P: 0.7500 0.7500 0.9972  2 Au 2.30
Au: 0.2500 0.2500 0.5028  2 P 2.30
Au: 0.7500 0.7500 0.4972  2 P 2.30
O: 0.2500 0.7500 0.5000  2 Sm 2.30
O: 0.7500 0.2500 0.5000  2 Sm 2.30

---

Model three:
Entry from OQMD: a geometry-optimized SmPAuO structure (PBE).

Properties
Symmetry: Pmc2_1 (26)

a = 4.8396 Å, b = 6.3357 Å, c = 4.6215 Å
α = 90.00°, β = 90.00°, γ = 90.00°
Last column: nearest neighbours and their distance in Å.
Atoms (fractional coordinates):
Sm: 0.0000 0.2223 0.0000  3 O 2.26-2.38
Sm: 0.0000 0.7777 0.5000  3 O 2.26-2.38
P: 0.5000 0.4974 0.7524  2 P 2.31
P: 0.5000 0.5026 0.2524  2 P 2.31
Au: 0.5000 0.1309 0.5034  2 O 2.42, 2 P 2.59-2.63
Au: 0.5000 0.8691 0.0034  2 O 2.42, 2 P 2.59-2.63
O: 0.0000 0.1350 0.4982  3 Sm 2.26-2.38, 2 Au 2.42
O: 0.0000 0.8650 0.9982  3 Sm 2.26-2.38, 2 Au 2.42

---

Model four:
Entry from OQMD: a geometry-optimized SmPAuO structure (PBE).

Properties
Symmetry: Pmc2_1 (26)

a = 3.8503 Å, b = 7.4958 Å, c = 6.0170 Å
α = 90.00°, β = 90.00°, γ = 90.00°
Last column: nearest neighbours and their distance in Å.
Atoms (fractional coordinates):
Sm: 0.0000 0.2271 0.0000  2 O 2.17
Sm: 0.0000 0.7729 0.5000  2 O 2.17
P: 0.0000 0.1548 0.5011  2 Au 2.35
P: 0.0000 0.8452 0.0011  2 Au 2.35
Au: 0.5000 0.3348 0.5064  1 O 2.27, 2 P 2.35
Au: 0.5000 0.6652 0.0064  1 O 2.27, 2 P 2.35
O: 0.5000 0.3618 0.0078  2 Sm 2.17, 1 Au 2.27
O: 0.5000 0.6382 0.5078  2 Sm 2.17, 1 Au 2.27

---

Computed stability ranking, most favorable first: model one, model three, model four, model two

---

Model one:
Entry from OQMD: a geometry-optimized ZnPAuO structure (PBE).

Properties
Symmetry: Pmc2_1 (26)

a = 3.5719 Å, b = 7.1858 Å, c = 5.1413 Å
α = 90.00°, β = 90.00°, γ = 90.00°
Last column: nearest neighbours and their distance in Å.
Atoms (fractional coordinates):
Zn: 0.0000 0.1425 0.0000  2 O 1.90-1.98
Zn: 0.0000 0.8575 0.5000  2 O 1.90-1.98
P: 0.5000 0.3562 0.9057  2 Au 2.32-2.48, 2 Zn 2.40
P: 0.5000 0.6438 0.4057  2 Au 2.32-2.48, 2 Zn 2.40
Au: 0.5000 0.3217 0.4263  2 P 2.32-2.48, 2 O 2.37
Au: 0.5000 0.6783 0.9263  2 P 2.32-2.48, 2 O 2.37
O: 0.0000 0.1081 0.3812  2 Zn 1.90-1.98
O: 0.0000 0.8919 0.8812  2 Zn 1.90-1.98

---

Model two:
Entry from OQMD: a geometry-optimized ZnPAuO structure (PBE).

Properties
Symmetry: P4/nmm (129)

a = 4.0806 Å, b = 4.0806 Å, c = 8.5422 Å
α = 90.00°, β = 90.00°, γ = 90.00°
Last column: nearest neighbours and their distance in Å.
Atoms (fractional coordinates):
Zn: 0.2500 0.2500 0.0430  4 O 2.07
Zn: 0.7500 0.7500 0.9570  4 O 2.07
P: 0.2500 0.2500 0.3341  4 Au 2.48, 1 Zn 2.49
P: 0.7500 0.7500 0.6659  4 Au 2.48, 1 Zn 2.49
Au: 0.2500 0.7500 0.5000  4 P 2.48
Au: 0.7500 0.2500 0.5000  4 P 2.48
O: 0.2500 0.7500 0.0000  4 Zn 2.07
O: 0.7500 0.2500 0.0000  4 Zn 2.07

---

Computed stability ranking, most favorable first: model two, model one

---

Model one:
Entry from OQMD: a geometry-optimized ZnPAuO structure (PBE).

Properties
Symmetry: P4/nmm (129)

a = 4.1013 Å, b = 4.1013 Å, c = 9.0094 Å
α = 90.00°, β = 90.00°, γ = 90.00°
Last column: nearest neighbours and their distance in Å.
Atoms (fractional coordinates):
Zn: 0.2500 0.7500 0.0000  4 P 2.44
Zn: 0.7500 0.2500 0.0000  4 P 2.44
P: 0.2500 0.2500 0.1460  1 Au 2.33, 4 Zn 2.44
P: 0.7500 0.7500 0.8540  1 Au 2.33, 4 Zn 2.44
Au: 0.2500 0.2500 0.4042  4 O 2.22, 1 P 2.33
Au: 0.7500 0.7500 0.5958  4 O 2.22, 1 P 2.33
O: 0.2500 0.7500 0.5000  4 Au 2.22
O: 0.7500 0.2500 0.5000  4 Au 2.22

---

Model two:
Entry from OQMD: a geometry-optimized ZnPAuO structure (PBE).

Properties
Symmetry: Pmc2_1 (26)

a = 3.3541 Å, b = 7.0232 Å, c = 5.4405 Å
α = 90.00°, β = 90.00°, γ = 90.00°
Last column: nearest neighbours and their distance in Å.
Atoms (fractional coordinates):
Zn: 0.0000 0.1997 0.0000  2 O 1.91
Zn: 0.0000 0.8003 0.5000  2 O 1.91
P: 0.0000 0.4623 0.4426  2 Au 2.35, 1 Zn 2.39
P: 0.0000 0.5377 0.9426  2 Au 2.35, 1 Zn 2.39
Au: 0.5000 0.2277 0.4504  1 O 2.20, 2 P 2.35
Au: 0.5000 0.7723 0.9504  1 O 2.20, 2 P 2.35
O: 0.5000 0.0849 0.9184  2 Zn 1.91
O: 0.5000 0.9151 0.4184  2 Zn 1.91

---

Computed stability ranking, most favorable first: model two, model one

---

Model one:
Entry from OQMD: a geometry-optimized Pa2Au2O5 structure (PBE).

Properties
Symmetry: P4/mmm (123)

a = 3.8739 Å, b = 3.8739 Å, c = 8.0354 Å
α = 90.00°, β = 90.00°, γ = 90.00°
Last column: nearest neighbours and their distance in Å.
Atoms (fractional coordinates):
Pa: 0.0000 0.0000 0.0000  8 Au 3.03, 8 O 3.16
Pa: 0.0000 0.0000 0.5000  12 O 2.46-2.74
Au: 0.5000 0.5000 0.1608  4 O 2.28
Au: 0.5000 0.5000 0.8392  4 O 2.28
O: 0.0000 0.5000 0.3107  2 Au 2.28, 2 O 2.46, 2 Pa 2.46
O: 0.0000 0.5000 0.6893  2 Au 2.28, 2 O 2.46, 2 Pa 2.46
O: 0.5000 0.0000 0.3107  2 Au 2.28, 2 O 2.46, 2 Pa 2.46
O: 0.5000 0.0000 0.6893  2 Au 2.28, 2 O 2.46, 2 Pa 2.46
O: 0.5000 0.5000 0.5000  8 O 2.46, 2 Au 2.73, 4 Pa 2.74

---

Model two:
Entry from OQMD: a geometry-optimized Pa2Au2O5 structure (PBE).

Properties
Symmetry: P4/mmm (123)

a = 4.2564 Å, b = 4.2564 Å, c = 8.7307 Å
α = 90.00°, β = 90.00°, γ = 90.00°
Last column: nearest neighbours and their distance in Å.
Atoms (fractional coordinates):
Pa: 0.0000 0.0000 0.2455  5 O 2.14
Pa: 0.0000 0.0000 0.7545  5 O 2.14
Au: 0.5000 0.5000 0.0000  12 O 2.88-3.01
Au: 0.5000 0.5000 0.5000  8 O 3.23
O: 0.0000 0.0000 0.0000  2 Pa 2.14
O: 0.0000 0.5000 0.2223  2 Pa 2.14
O: 0.0000 0.5000 0.7777  2 Pa 2.14
O: 0.5000 0.0000 0.2223  2 Pa 2.14
O: 0.5000 0.0000 0.7777  2 Pa 2.14

---

Computed stability ranking, most favorable first: model two, model one